Crystalline Zr2InCo2 at its relaxed geometry, computed with PBE-GGA.

- Raw total energy: -7.155 eV per atom
- ΔH_f (0 K): -346 meV per atom

Lattice parameters (Å, degrees): 7.202 7.202 3.311 90.00 90.00 90.00
Element x y z (fractional)
Zr (0.667, 0.833, 0.500)
Zr (0.833, 0.333, 0.500)
Zr (0.167, 0.667, 0.500)
Zr (0.333, 0.167, 0.500)
Co (0.127, 0.373, 0.000)
Co (0.373, 0.873, 0.000)
Co (0.873, 0.627, 0.000)
Co (0.627, 0.127, 0.000)
In (0.500, 0.500, 0.000)
In (0.000, 0.000, 0.000)